# 1
Entry from Alexandria: a geometry-optimized EuDy3Os structure (PBE-GGA).

abc: 5.480 5.480 5.480
angles: 90.00 90.00 90.00
Sites, in units of the cell vectors:
Eu: 0.000 0.000 0.000
Dy: 0.000 0.500 0.500
Dy: 0.500 0.000 0.500
Dy: 0.500 0.500 0.000
Os: 0.500 0.500 0.500

Output
- Space-group type: Pm-3m, No. 221
- Size of the total moment: 7.253 μB/f.u.
- Crystal system: cubic
- Energy of formation: -0.08 eV per atom
- Density of states at the Fermi level: 3.4 states/eV per cell

---

# 2
Entry from Alexandria: a geometry-optimized EuDy2Os structure (PBE-GGA).

abc: 3.432 3.432 9.650
angles: 90.00 90.00 90.00
Sites, in units of the cell vectors:
Eu: 0.000 0.000 0.000
Dy: 0.500 0.500 0.330
Dy: 0.500 0.500 0.670
Os: 0.000 0.000 0.500

Output
- Space-group type: P4/mmm, No. 123
- Size of the total moment: 7.535 μB/f.u.
- ΔE to the lowest computed polymorph: 0 meV per atom
- Crystal system: tetragonal
- Energy of formation: -0.13 eV per atom
- Density of states at the Fermi level: 2.5 states/eV per cell

---

# 3
Entry from Alexandria: a geometry-optimized EuDy2Os structure (PBE-GGA).

abc: 10.793 10.793 10.793
angles: 20.92 20.92 20.92
Sites, in units of the cell vectors:
Eu: 0.000 0.000 0.000
Dy: 0.118 0.118 0.118
Dy: 0.882 0.882 0.882
Os: 0.500 0.500 0.500

Output
- Space-group type: R-3m, No. 166
- Size of the total moment: 7.480 μB/f.u.
- ΔE to the lowest computed polymorph: 313 meV per atom
- Crystal system: trigonal
- Energy of formation: 0.18 eV per atom
- Density of states at the Fermi level: 3.6 states/eV per cell

---

# 4
Entry from Alexandria: a geometry-optimized EuDy2P structure (PBE-GGA).

abc: 10.509 10.509 10.509
angles: 20.96 20.96 20.96
Sites, in units of the cell vectors:
Eu: 0.000 0.000 0.000
Dy: 0.115 0.115 0.115
Dy: 0.885 0.885 0.885
P: 0.500 0.500 0.500

Output
- Space-group type: R-3m, No. 166
- Size of the total moment: 7.213 μB/f.u.
- Crystal system: trigonal
- Energy of formation: -0.60 eV per atom
- Density of states at the Fermi level: 3.5 states/eV per cell

---

# 5
Entry from Alexandria: a geometry-optimized Eu2DyP structure (PBE-GGA).

abc: 10.797 10.797 10.797
angles: 20.81 20.81 20.81
Sites, in units of the cell vectors:
Eu: 0.112 0.112 0.112
Eu: 0.888 0.888 0.888
Dy: 0.000 0.000 0.000
P: 0.500 0.500 0.500

Output
- Space-group type: R-3m, No. 166
- Size of the total moment: 14.149 μB/f.u.
- Crystal system: trigonal
- Energy of formation: -0.34 eV per atom
- Density of states at the Fermi level: 8.9 states/eV per cell

---

# 6
Entry from Alexandria: a geometry-optimized EuDy3P structure (PBE-GGA).

abc: 5.444 5.444 5.444
angles: 90.00 90.00 90.00
Sites, in units of the cell vectors:
Eu: 0.000 0.000 0.000
Dy: 0.000 0.500 0.500
Dy: 0.500 0.000 0.500
Dy: 0.500 0.500 0.000
P: 0.500 0.500 0.500

Output
- Space-group type: Pm-3m, No. 221
- Size of the total moment: 8.369 μB/f.u.
- Crystal system: cubic
- Energy of formation: -0.41 eV per atom
- Density of states at the Fermi level: 11.8 states/eV per cell

---

# 7
Entry from Alexandria: a geometry-optimized Eu2DyPb structure (PBE-GGA).

abc: 4.937 4.937 5.206
angles: 90.00 90.00 90.00
Sites, in units of the cell vectors:
Eu: 0.000 0.500 0.000
Eu: 0.500 0.000 0.000
Dy: 0.000 0.000 0.500
Pb: 0.500 0.500 0.500

Output
- Space-group type: P4/mmm, No. 123
- Size of the total moment: 14.729 μB/f.u.
- ΔE to the lowest computed polymorph: 0 meV per atom
- Crystal system: tetragonal
- Energy of formation: -0.29 eV per atom
- Density of states at the Fermi level: 3.5 states/eV per cell

---

# 8
Entry from Alexandria: a geometry-optimized Eu2DyPb structure (PBE-GGA).

abc: 4.344 4.344 7.014
angles: 90.00 90.00 90.00
Sites, in units of the cell vectors:
Eu: 0.000 0.000 0.233
Eu: 0.000 0.000 0.767
Dy: 0.500 0.500 0.500
Pb: 0.500 0.500 0.000

Output
- Space-group type: P4/mmm, No. 123
- Size of the total moment: 14.603 μB/f.u.
- ΔE to the lowest computed polymorph: 114 meV per atom
- Crystal system: tetragonal
- Energy of formation: -0.17 eV per atom
- Density of states at the Fermi level: 5.7 states/eV per cell

---

# 9
Entry from Alexandria: a geometry-optimized EuDyPdPb structure (PBE-GGA).

abc: 5.300 5.300 5.300
angles: 60.00 60.00 60.00
Sites, in units of the cell vectors:
Eu: 0.000 0.000 0.000
Dy: 0.500 0.500 0.500
Pd: 0.750 0.750 0.750
Pb: 0.250 0.250 0.250

Output
- Space-group type: F-43m, No. 216
- Size of the total moment: 6.923 μB/f.u.
- Crystal system: cubic
- Energy of formation: -0.55 eV per atom
- Density of states at the Fermi level: 12.6 states/eV per cell

---

# 10
Entry from Alexandria: a geometry-optimized EuDyPd structure (PBE-GGA).

abc: 4.984 4.984 4.984
angles: 60.00 60.00 60.00
Sites, in units of the cell vectors:
Eu: 0.000 0.000 0.000
Dy: 0.500 0.500 0.500
Pd: 0.250 0.250 0.250

Output
- Space-group type: F-43m, No. 216
- Size of the total moment: 7.273 μB/f.u.
- ΔE to the lowest computed polymorph: 91 meV per atom
- Crystal system: cubic
- Energy of formation: -0.42 eV per atom
- Density of states at the Fermi level: 2.5 states/eV per cell

---

# 11
Entry from Alexandria: a geometry-optimized Eu2DyPd structure (PBE-GGA).

abc: 3.662 3.662 8.995
angles: 90.00 90.00 90.00
Sites, in units of the cell vectors:
Eu: 0.000 0.000 0.194
Eu: 0.000 0.000 0.806
Dy: 0.500 0.500 0.500
Pd: 0.500 0.500 0.000

Output
- Space-group type: P4/mmm, No. 123
- Size of the total moment: 14.870 μB/f.u.
- ΔE to the lowest computed polymorph: 0 meV per atom
- Crystal system: tetragonal
- Energy of formation: -0.26 eV per atom
- Density of states at the Fermi level: 14.1 states/eV per cell

---

# 12
Entry from Alexandria: a geometry-optimized Eu2DyPd structure (PBE-GGA).

abc: 11.023 11.023 11.023
angles: 19.51 19.51 19.51
Sites, in units of the cell vectors:
Eu: 0.106 0.106 0.106
Eu: 0.894 0.894 0.894
Dy: 0.000 0.000 0.000
Pd: 0.500 0.500 0.500

Output
- Space-group type: R-3m, No. 166
- Size of the total moment: 14.789 μB/f.u.
- ΔE to the lowest computed polymorph: 219 meV per atom
- Crystal system: trigonal
- Energy of formation: -0.04 eV per atom
- Density of states at the Fermi level: 12.4 states/eV per cell